No. 1
Here is Al2Cr after structural relaxation from Alexandria via LeMat-Bulk. Energies are from PBEsol.

## Properties
The value obtained for the calculated density is 4063 kg/m3. Its formation energy is 0.433 eV per formula unit. The value obtained for the uncorrected energy is -5.997 eV per atom. The calculation puts the density of states at the Fermi level at 0.8088 states/eV/atom.

abc: 4.3425 4.3425 5.3033
angles: 90.00 90.00 120.00
Last column: nearest neighbours and their distance in Å.
Space group P6_3/mmc (No. 194)
Inequivalent atoms, fractional coordinates:
Al: 0.0000 0.0000 0.0000 x2  8 Al 2.65-2.84, 6 Cr 2.84
Al: 0.3333 0.6667 0.2500 x2  5 Cr 2.51-2.65
Cr: 0.3333 0.6667 0.7500 x2  5 Al 2.51-2.65

No. 2
Here is TaRuF3 after structural relaxation from Alexandria via LeMat-Bulk. Energies are from PBEsol.

## Properties
For the raw formation energy, the calculation gives 0.8 eV per formula unit. The value obtained for the calculated density is 7912 kg/m3. The value obtained for the uncorrected energy is -5.531 eV per atom. The calculation puts the density of states at the Fermi level at 1.2211 states/eV/atom.

abc: 4.1438 4.1438 4.1438
angles: 90.00 90.00 90.00
Last column: nearest neighbours and their distance in Å.
Space group Pm-3m (No. 221)
Inequivalent atoms, fractional coordinates:
Ta: 0.0000 0.0000 0.0000 x1  12 F 2.93
Ru: 0.5000 0.5000 0.5000 x1  6 F 2.07
F: 0.0000 0.5000 0.5000 x3  2 Ru 2.07